Entry 1:
Computed, not measured: CsPrZnTe3 after structural relaxation at the PBE level of DFT.

POSCAR file:
```
CsPrZnTe3
1.0
2.271 -8.579 0.000
2.271 8.579 0.000
0.000 0.000 12.105
Zn Te Pr Cs
2 6 2 2
direct
0.538 0.462 0.750
0.462 0.538 0.250
0.623 0.377 0.935
0.377 0.623 0.065
0.941 0.059 0.750
0.377 0.623 0.435
0.623 0.377 0.565
0.059 0.941 0.250
0.000 0.000 0.500
0.000 0.000 0.000
0.255 0.745 0.750
0.745 0.255 0.250
```

Values from the calculation:
Calculated volume   471.7 Å³/cell
Size of the total moment   0.0 Bohr magnetons per cell
Calculated total energy   -0.141 hartree per atom

***

Entry 2:
Computed, not measured: CsPrTh after structural relaxation at the PBE level of DFT.

POSCAR file:
```
CsPrTh
1.0
4.967 -0.422 2.491
3.126 4.549 0.771
0.726 2.045 5.133
Th Cs Pr
1 1 1
direct
0.750 0.750 0.750
0.000 0.000 0.000
0.250 0.250 0.250
```

Values from the calculation:
Calculated volume   122.4 Å³/cell
E above lowest polymorph   5 meV/atom
Size of the total moment   0.0 Bohr magnetons per cell
Calculated total energy   -0.108 hartree per atom

***

Entry 3:
Computed, not measured: CsPrTh after structural relaxation at the PBE level of DFT.

POSCAR file:
```
CsPrTh
1.0
0.000 4.087 4.087
4.087 0.000 4.087
4.087 4.087 0.000
Cs Th Pr
1 1 1
direct
0.250 0.250 0.250
0.750 0.750 0.750
0.000 0.000 0.000
```

Values from the calculation:
Calculated volume   136.5 Å³/cell
E above lowest polymorph   0 meV/atom
Size of the total moment   1.8 Bohr magnetons per cell
Calculated total energy   -0.108 hartree per atom

***

Entry 4:
Computed, not measured: CsPrU after structural relaxation at the PBE level of DFT.

POSCAR file:
```
CsPrU
1.0
0.000 3.872 3.872
3.872 0.000 3.872
3.872 3.872 0.000
Cs Pr U
1 1 1
direct
0.000 0.000 0.000
0.250 0.250 0.250
0.750 0.750 0.750
```

Values from the calculation:
Calculated volume   116.1 Å³/cell
E above lowest polymorph   36 meV/atom
Size of the total moment   3.6 Bohr magnetons per cell
Calculated total energy   -0.137 hartree per atom

***

Entry 5:
Computed, not measured: CsPrU after structural relaxation at the PBE level of DFT.

POSCAR file:
```
CsPrU
1.0
4.403 3.640 1.782
-1.028 4.079 4.256
2.421 -0.668 5.432
U Cs Pr
1 1 1
direct
0.750 0.750 0.750
0.250 0.250 0.250
0.000 0.000 0.000
```

Values from the calculation:
Calculated volume   151.5 Å³/cell
E above lowest polymorph   0 meV/atom
Size of the total moment   7.0 Bohr magnetons per cell
Calculated total energy   -0.138 hartree per atom

***

Entry 6:
Computed, not measured: CsPrW after structural relaxation at the PBE level of DFT.

POSCAR file:
```
CsPrW
1.0
1.012 -0.110 5.264
3.231 3.678 2.187
-2.032 3.791 3.201
Pr W Cs
1 1 1
direct
0.000 0.000 0.000
0.750 0.750 0.750
0.250 0.250 0.250
```

Values from the calculation:
Calculated volume   109.0 Å³/cell
Size of the total moment   3.7 Bohr magnetons per cell
Calculated total energy   -0.147 hartree per atom

***

Entry 7:
Computed, not measured: CsPrY after structural relaxation at the PBE level of DFT.

POSCAR file:
```
CsPrY
1.0
4.007 -3.606 1.554
5.313 0.856 -1.584
3.843 1.538 3.786
Y Cs Pr
1 1 1
direct
0.250 0.250 0.250
0.000 0.000 0.000
0.750 0.750 0.750
```

Values from the calculation:
Calculated volume   124.8 Å³/cell
E above lowest polymorph   3 meV/atom
Size of the total moment   0.0 Bohr magnetons per cell
Calculated total energy   -0.104 hartree per atom

***

Entry 8:
Computed, not measured: CsPrY after structural relaxation at the PBE level of DFT.

POSCAR file:
```
CsPrY
1.0
2.267 -5.558 1.102
-0.167 -2.298 5.651
-3.761 -4.626 1.303
Cs Pr Y
1 1 1
direct
0.250 0.250 0.250
0.000 0.000 0.000
0.750 0.750 0.750
```

Values from the calculation:
Calculated volume   160.7 Å³/cell
E above lowest polymorph   0 meV/atom
Size of the total moment   4.4 Bohr magnetons per cell
Calculated total energy   -0.105 hartree per atom

***

Entry 9:
Computed, not measured: CsPrZn after structural relaxation at the PBE level of DFT.

POSCAR file:
```
CsPrZn
1.0
0.000 3.797 3.797
3.797 0.000 3.797
3.797 3.797 0.000
Cs Pr Zn
1 1 1
direct
0.250 0.250 0.250
0.000 0.000 0.000
0.750 0.750 0.750
```

Values from the calculation:
Calculated volume   109.5 Å³/cell
Size of the total moment   0.0 Bohr magnetons per cell
Calculated total energy   -0.057 hartree per atom

***

Entry 10:
Computed, not measured: CsPrZr after structural relaxation at the PBE level of DFT.

POSCAR file:
```
CsPrZr
1.0
-1.721 1.230 4.913
2.598 -1.864 4.289
2.836 3.340 3.069
Pr Zr Cs
1 1 1
direct
0.750 0.750 0.750
0.250 0.250 0.250
0.000 0.000 0.000
```

Values from the calculation:
Calculated volume   108.2 Å³/cell
E above lowest polymorph   81 meV/atom
Size of the total moment   0.0 Bohr magnetons per cell
Calculated total energy   -0.115 hartree per atom

***

Entry 11:
Computed, not measured: CsPrZr after structural relaxation at the PBE level of DFT.

POSCAR file:
```
CsPrZr
1.0
-3.955 -3.174 2.704
-5.295 2.084 0.809
-4.429 -2.187 -2.938
Zr Cs Pr
1 1 1
direct
0.750 0.750 0.750
0.250 0.250 0.250
0.000 0.000 0.000
```

Values from the calculation:
Calculated volume   134.2 Å³/cell
E above lowest polymorph   0 meV/atom
Size of the total moment   4.6 Bohr magnetons per cell
Calculated total energy   -0.118 hartree per atom

***

Entry 12:
Computed, not measured: Cs2Pt after structural relaxation at the PBE level of DFT.

POSCAR file:
```
Cs2Pt
1.0
5.812 0.105 3.728
1.382 5.390 4.090
-0.286 -0.711 6.863
Cs Pt
4 2
direct
0.125 0.625 0.625
0.625 0.625 0.625
0.625 0.125 0.625
0.625 0.625 0.125
0.250 0.250 0.250
0.000 0.000 0.000
```

Values from the calculation:
Calculated volume   232.9 Å³/cell
Size of the total moment   0.0 Bohr magnetons per cell
Calculated total energy   -0.068 hartree per atom

***

Entry 13:
Computed, not measured: CsPt after structural relaxation at the PBE level of DFT.

POSCAR file:
```
CsPt
1.0
1.716 0.991 5.566
-1.716 0.991 5.566
0.000 -1.982 5.566
Cs Pt
1 1
direct
0.000 0.000 0.000
0.500 0.500 0.500
```

Values from the calculation:
Calculated volume   56.8 Å³/cell
Size of the total moment   0.0 Bohr magnetons per cell
Calculated total energy   -0.102 hartree per atom

***

Entry 14:
Computed, not measured: Cs4Pt after structural relaxation at the PBE level of DFT.

POSCAR file:
```
Cs4Pt
1.0
-1.855 -5.280 -4.856
-0.666 -2.638 6.892
-4.490 5.831 -0.857
Cs Pt
4 1
direct
0.000 0.500 0.000
0.000 0.000 0.500
0.500 0.500 0.500
0.500 0.000 0.000
0.000 0.000 0.000
```

Values from the calculation:
Calculated volume   313.1 Å³/cell
Size of the total moment   0.0 Bohr magnetons per cell
Calculated total energy   -0.067 hartree per atom

***

Entry 15:
Computed, not measured: CsPt after structural relaxation at the PBE level of DFT.

POSCAR file:
```
CsPt
1.0
1.437 -3.713 2.299
0.416 0.148 4.576
-2.936 -2.341 2.652
Cs Pt
1 1
direct
0.000 0.000 0.000
0.500 0.500 0.500
```

Values from the calculation:
Calculated volume   68.7 Å³/cell
Size of the total moment   0.0 Bohr magnetons per cell
Calculated total energy   -0.094 hartree per atom

***

Entry 16:
Computed, not measured: CsPuPt after structural relaxation at the PBE level of DFT.

POSCAR file:
```
CsPuPt
1.0
-2.710 -5.241 0.641
0.307 -2.886 5.177
-4.817 -0.449 3.437
Pt Cs Pu
1 1 1
direct
0.250 0.250 0.250
0.000 0.000 0.000
0.750 0.750 0.750
```

Values from the calculation:
Calculated volume   147.8 Å³/cell
Size of the total moment   6.9 Bohr magnetons per cell
Calculated total energy   -0.214 hartree per atom

***

Entry 17:
Computed, not measured: CsRbPtSe2S after structural relaxation at the PBE level of DFT.

POSCAR file:
```
CsRbPtSe2S
1.0
-5.702 -0.537 5.032
-2.137 -6.444 3.468
8.533 4.233 3.465
Se S Pt Rb Cs
4 2 2 2 2
direct
0.385 0.385 0.607
0.615 0.615 0.393
0.225 0.775 0.000
0.775 0.225 0.000
0.203 0.203 0.757
0.797 0.797 0.243
0.606 0.606 0.148
0.394 0.394 0.852
0.092 0.092 0.382
0.908 0.908 0.618
0.695 0.695 0.826
0.305 0.305 0.174
```

Values from the calculation:
Calculated volume   422.4 Å³/cell
Size of the total moment   0.0 Bohr magnetons per cell
Calculated total energy   -0.138 hartree per atom

***

Entry 18:
Computed, not measured: CsRbPtSe2 after structural relaxation at the PBE level of DFT.

POSCAR file:
```
CsRbPtSe2
1.0
5.063 -0.080 4.529
3.859 5.115 -2.258
-5.853 -1.870 2.898
Pt Se Cs Rb
1 2 1 1
direct
0.501 0.001 0.500
0.292 0.501 0.791
0.711 0.501 0.209
0.195 0.195 0.000
0.801 0.801 0.000
```

Values from the calculation:
Calculated volume   156.4 Å³/cell
Size of the total moment   0.0 Bohr magnetons per cell
Calculated total energy   -0.142 hartree per atom

***

Entry 19:
Computed, not measured: CsRbTl4Pt2 after structural relaxation at the PBE level of DFT.

POSCAR file:
```
CsRbTl4Pt2
1.0
8.418 0.000 0.000
0.000 2.259 6.626
0.000 -2.259 6.626
Tl Pt Rb Cs
4 2 1 1
direct
0.801 0.165 0.165
0.199 0.165 0.165
0.695 0.835 0.835
0.305 0.835 0.835
0.000 0.724 0.724
0.500 0.275 0.275
0.500 0.547 0.547
0.000 0.455 0.455
```

Values from the calculation:
Calculated volume   252.0 Å³/cell
Size of the total moment   0.0 Bohr magnetons per cell
Calculated total energy   -0.113 hartree per atom

***

Entry 20:
Computed, not measured: CsRePt after structural relaxation at the PBE level of DFT.

POSCAR file:
```
CsRePt
1.0
-4.396 -1.588 1.658
-3.769 -0.612 -3.164
-1.574 -4.565 -1.128
Cs Pt Re
1 1 1
direct
0.250 0.250 0.250
0.000 0.000 0.000
0.750 0.750 0.750
```

Values from the calculation:
Calculated volume   86.2 Å³/cell
Size of the total moment   4.4 Bohr magnetons per cell
Calculated total energy   -0.162 hartree per atom